Material: Ce2InSe4
Method: DFT, PBE
State: optimized geometry

Cell: 4.287 7.379 14.260 Å, 90.00 90.00 106.89°
Site moments in Bohr magnetons follow the coordinates.
Fractional positions:
Ce (0.135, 0.271, 0.433)  0.56
Ce (0.865, 0.729, 0.933)  0.56
Ce (0.135, 0.271, 0.067)  0.56
Ce (0.865, 0.729, 0.567)  0.56
In (0.598, 0.197, 0.750)  -0.01
In (0.402, 0.803, 0.250)  -0.01
Se (0.764, 0.527, 0.111)  -0.03
Se (0.764, 0.527, 0.389)  -0.03
Se (0.236, 0.473, 0.889)  -0.03
Se (0.236, 0.473, 0.611)  -0.03
Se (0.945, 0.891, 0.750)  -0.03
Se (0.055, 0.109, 0.250)  -0.03
Se (0.500, 0.000, 0.000)  -0.02
Se (0.500, 0.000, 0.500)  -0.02

**E_form (uncorrected)**: -1.379 eV per atom
**N(E_F)**: 1.27 states/eV per atom
**Symmetry**: Cmcm (63)
**Uncorrected energy**: -38.200 eV/f.u.